[1]
Here is a geometry-optimized LaSi2O structure from the Alexandria database. Energies are from GGA-PBE.

The structure in POSCAR format:
```
LaSi2O
1.0
-2.367 2.367 7.091
2.367 -2.367 7.091
2.367 2.367 -7.091
La Si O
2 4 2
direct
0.000 0.000 0.000
0.750 0.250 0.500
0.342 0.125 0.717
0.375 0.658 0.783
0.408 0.625 0.283
0.875 0.592 0.217
0.250 0.750 0.500
0.500 0.500 0.000
```

Results
Calculated density   4.411 g/cm³
ΔE_f (raw)   -0.532 eV/atom

***

[2]
Here is a geometry-optimized La2Si3O9 structure from the Alexandria database. Energies are from GGA-PBE.

The structure in POSCAR format:
```
La2Si3O9
1.0
5.530 0.000 0.000
-0.007 7.472 0.000
-2.762 -2.974 7.789
La Si O
4 6 18
direct
0.113 0.212 0.226
0.210 0.827 0.420
0.790 0.173 0.580
0.887 0.788 0.774
0.236 0.500 0.000
0.331 0.459 0.662
0.431 0.074 0.862
0.569 0.926 0.138
0.669 0.541 0.338
0.764 0.500 0.000
0.022 0.670 0.044
0.134 0.014 0.711
0.144 0.488 0.782
0.261 0.243 0.525
0.290 0.622 0.578
0.297 0.000 0.000
0.362 0.512 0.218
0.423 0.986 0.289
0.476 0.324 0.952
0.524 0.676 0.048
0.577 0.014 0.711
0.638 0.488 0.782
0.703 0.000 0.000
0.710 0.378 0.422
0.739 0.757 0.475
0.856 0.512 0.218
0.866 0.986 0.289
0.978 0.330 0.956
```

Results
Calculated density   5.221 g/cm³
ΔE to the lowest computed polymorph   65 meV per atom
ΔE_f (raw)   -3.044 eV/atom

***

[3]
Here is a geometry-optimized La5Si2O12 structure from the Alexandria database. Energies are from GGA-PBE.

The structure in POSCAR format:
```
La5Si2O12
1.0
6.343 -2.924 0.000
6.343 2.924 0.000
-2.320 0.000 7.452
La Si O
5 2 12
direct
0.000 0.000 0.000
0.305 0.305 0.661
0.315 0.315 0.146
0.685 0.685 0.854
0.695 0.695 0.339
0.244 0.756 0.500
0.756 0.244 0.500
0.002 0.002 0.658
0.093 0.595 0.917
0.107 0.603 0.430
0.397 0.893 0.570
0.405 0.907 0.083
0.498 0.498 0.655
0.502 0.502 0.345
0.595 0.093 0.917
0.603 0.107 0.430
0.893 0.397 0.570
0.907 0.405 0.083
0.998 0.998 0.342
```

Results
Calculated density   5.662 g/cm³
ΔE_f (raw)   -3.092 eV/atom

***

[4]
Here is a geometry-optimized LaSiO2 structure from the Alexandria database. Energies are from GGA-PBE.

The structure in POSCAR format:
```
LaSiO2
1.0
1.944 1.122 5.508
-1.944 1.122 5.508
0.000 -2.245 5.508
La Si O
1 1 2
direct
0.000 0.000 0.000
0.500 0.500 0.500
0.391 0.391 0.391
0.609 0.609 0.609
```

Results
Calculated density   4.582 g/cm³
ΔE_f (raw)   -2.099 eV/atom